(1)
The following is a DFT calculation (GGA-PBEsol) of an optimized crystal structure of Ba2HgPb.

Values from the calculation:
Total magnetization: 0.0 Bohr magnetons per cell

Cell lengths 5.9002, 5.9002, 5.9002 Å; angles 60.00, 60.00, 60.00 degrees
Element x y z (fractional)
Pb 0.5000 0.5000 0.5000
Hg 0.0000 0.0000 0.0000
Ba 0.2500 0.2500 0.2500
Ba 0.7500 0.7500 0.7500

=====

(2)
The following is a DFT calculation (GGA-PBEsol) of an optimized crystal structure of Ba2HgPb.

Values from the calculation:
Total magnetization: 0.0 Bohr magnetons per cell

Cell lengths 4.1421, 5.7687, 5.9977 Å; angles 90.00, 89.98, 90.00 degrees
Element x y z (fractional)
Pb 0.3748 0.5000 0.8250
Hg 0.3754 0.0000 0.4241
Ba 0.8744 0.0000 0.9061
Ba 0.8755 0.5000 0.3449

=====

The structure with the least stability is (2).